(1)
Ti5Co2Cu4 after structural relaxation, computed with PBE-GGA.

## Properties
Formation energy   -192 meV per atom
Total moment   1.26 μB per formula unit
DOS at the Fermi energy   22.94 states/eV per cell
Space group   Pbam (55)
Total energy   -6.56 eV/atom

The structure in extended XYZ format:
```
22
Lattice="6.7062 0.0000 0.0000 0.0000 15.8295 0.0000 0.0000 0.0000 2.8876" Properties=species:S:1:pos:R:3 pbc="T T T"
Ti 0.0000 0.0000 0.0000
Ti 0.8713 6.6872 0.0000
Ti 1.6385 11.3699 0.0000
Ti 1.7146 3.4551 0.0000
Ti 2.4818 14.6019 0.0000
Ti 3.3531 7.9148 0.0000
Ti 4.2244 1.2276 0.0000
Ti 4.9915 12.3744 0.0000
Ti 5.0677 4.4596 0.0000
Ti 5.8349 9.1424 0.0000
Co 0.3375 4.8793 1.4438
Co 3.0156 12.7941 1.4438
Co 3.6906 3.0355 1.4438
Co 6.3687 10.9502 1.4438
Cu 0.4301 13.4561 1.4438
Cu 1.4255 9.0580 1.4438
Cu 1.9276 1.1432 1.4438
Cu 2.9230 5.5414 1.4438
Cu 3.7832 10.2882 1.4438
Cu 4.7785 14.6864 1.4438
Cu 5.2807 6.7716 1.4438
Cu 6.2761 2.3734 1.4438
```


(2)
TlIn2Cl3 after structural relaxation, computed with PBE-GGA.

## Properties
Total moment   0.00 μB per formula unit
DOS at the Fermi energy   0.00 states/eV per cell
Formation energy without anion corrections   -5.1 eV per formula unit
Space group   Cmc2_1 (36)
Total energy   -3.08 eV/atom

The structure in extended XYZ format:
```
12
Lattice="6.4834 -5.7004 0.0000 6.4834 5.7004 0.0000 0.0000 0.0000 6.2346" Properties=species:S:1:pos:R:3 pbc="T T T"
Tl 6.4834 4.2167 3.1173
Tl 6.4834 -4.2167 0.0000
In 4.4228 1.6031 0.0073
In 4.4228 -1.6031 3.1246
In 8.5440 1.6031 0.0073
In 8.5440 -1.6031 3.1246
Cl 4.1946 2.1989 3.1169
Cl 6.4834 3.7350 0.0009
Cl 8.7722 2.1989 3.1169
Cl 4.1946 -2.1989 6.2342
Cl 6.4834 -3.7350 3.1182
Cl 8.7722 -2.1989 6.2342
```


Repeat the second record exactly.
TlIn2Cl3 after structural relaxation, computed with PBE-GGA.

## Properties
Total moment   0.00 μB per formula unit
DOS at the Fermi energy   0.00 states/eV per cell
Formation energy without anion corrections   -5.1 eV per formula unit
Space group   Cmc2_1 (36)
Total energy   -3.08 eV/atom

The structure in extended XYZ format:
```
12
Lattice="6.4834 -5.7004 0.0000 6.4834 5.7004 0.0000 0.0000 0.0000 6.2346" Properties=species:S:1:pos:R:3 pbc="T T T"
Tl 6.4834 4.2167 3.1173
Tl 6.4834 -4.2167 0.0000
In 4.4228 1.6031 0.0073
In 4.4228 -1.6031 3.1246
In 8.5440 1.6031 0.0073
In 8.5440 -1.6031 3.1246
Cl 4.1946 2.1989 3.1169
Cl 6.4834 3.7350 0.0009
Cl 8.7722 2.1989 3.1169
Cl 4.1946 -2.1989 6.2342
Cl 6.4834 -3.7350 3.1182
Cl 8.7722 -2.1989 6.2342
```


> total energy of number 2 (TlIn2Cl3)?

-3.08 eV/atom


> Number 2 is which compound?

TlIn2Cl3